1.
! Sm6Tl5 (PBE-GGA, optimized geometry); values from VASP
&SYSTEM
  ibrav = 0, nat = 11, ntyp = 2
/
ATOMIC_SPECIES
Tl 204.38 Tl.upf
Sm 150.36 Sm.upf
CELL_PARAMETERS angstrom
8.710 0.000 -0.698
4.355 5.909 -0.349
2.203 0.000 6.495
ATOMIC_POSITIONS crystal
Tl 0.372 0.257 0.000
Tl 0.500 0.000 0.500
Tl 0.628 0.743 0.000
Tl 0.231 0.539 0.500
Tl 0.769 0.461 0.500
Sm 0.951 0.699 0.192
Sm 0.650 0.301 0.192
Sm 0.049 0.301 0.808
Sm 0.186 0.000 0.303
Sm 0.350 0.699 0.808
Sm 0.814 0.000 0.697
! size of the total moment	0.0	Bohr magnetons per cell
! symmetry	C2/m
! Fermi-level density of states	11.14	states/eV/cell
! total energy	-3.853	eV/atom



2.
! Sm8Tl (PBE-GGA, optimized geometry); values from VASP
&SYSTEM
  ibrav = 0, nat = 9, ntyp = 2
/
ATOMIC_SPECIES
Sm 150.36 Sm.upf
Tl 204.38 Tl.upf
CELL_PARAMETERS angstrom
-4.458 0.121 2.210
-5.633 -0.776 -5.716
-2.024 -7.560 1.937
ATOMIC_POSITIONS crystal
Sm 0.335 0.665 0.665
Sm 0.339 0.000 0.322
Sm 0.339 0.322 0.000
Sm 0.661 0.000 0.678
Sm 0.665 0.335 0.335
Sm 0.000 0.665 0.335
Sm 0.661 0.678 0.000
Sm 0.000 0.335 0.665
Tl 0.000 0.000 0.000
! size of the total moment	0.0	Bohr magnetons per cell
! symmetry	I4/mmm
! Fermi-level density of states	13.48	states/eV/cell
! total energy	-4.496	eV/atom



3.
! SmTl3 (PBE-GGA, optimized geometry); values from VASP
&SYSTEM
  ibrav = 0, nat = 4, ntyp = 2
/
ATOMIC_SPECIES
Sm 150.36 Sm.upf
Tl 204.38 Tl.upf
CELL_PARAMETERS angstrom
4.704 0.000 0.000
0.000 4.704 0.000
-2.352 -2.352 5.107
ATOMIC_POSITIONS crystal
Sm 0.000 0.000 0.000
Tl 0.500 0.500 0.000
Tl 0.750 0.250 0.500
Tl 0.250 0.750 0.500
! size of the total moment	0.0	Bohr magnetons per cell
! symmetry	I4/mmm
! Fermi-level density of states	3.03	states/eV/cell
! total energy	-3.165	eV/atom



- Look up the size of the total moment of the first one.
  0.0 Bohr magnetons per cell